Entry 1:
# AgGeAu2, relaxed, DFT GGA-PBE
# DFT total energy = -13.75 eV for the cell shown
# Total moment = 0.0 μB per formula unit
data_AgGeAu2
_chemical_formula_sum 'Ag1 Ge1 Au2'
_symmetry_space_group_name_H-M 'P 4/m m m'
_symmetry_Int_Tables_number 123
_symmetry_space_group_name_Hall '-P 4 2'
_cell_length_a 4.320
_cell_length_b 4.320
_cell_length_c 3.907
_cell_angle_alpha 90.00
_cell_angle_beta 90.00
_cell_angle_gamma 90.00
loop_
_atom_site_label
_atom_site_type_symbol
_atom_site_fract_x
_atom_site_fract_y
_atom_site_fract_z
_atom_site_occupancy
Ag1 Ag 0.000 0.000 0.000 1
Ge1 Ge 0.500 0.500 0.000 1
Au1 Au 0.000 0.500 0.500 1


Entry 2:
# LiSi4Br, relaxed, DFT GGA-PBE
# DFT total energy = -93.39 eV for the cell shown
# Total moment = 0.0 μB per formula unit
# Formation energy without anion corrections = 186.3 kJ/mol of formula units
data_LiSi4Br
_chemical_formula_sum 'Li4 Si16 Br4'
_symmetry_space_group_name_H-M 'F -4 3 m'
_symmetry_Int_Tables_number 216
_symmetry_space_group_name_Hall 'F -4 2 3'
_cell_length_a 7.472
_cell_length_b 7.472
_cell_length_c 7.472
_cell_angle_alpha 90.00
_cell_angle_beta 90.00
_cell_angle_gamma 90.00
loop_
_atom_site_label
_atom_site_type_symbol
_atom_site_fract_x
_atom_site_fract_y
_atom_site_fract_z
_atom_site_occupancy
Li1 Li 0.000 0.000 0.000 1
Si1 Si 0.125 0.125 0.625 1
Br1 Br 0.250 0.250 0.250 1


Entry 3:
# AcPuMgBi, relaxed, DFT GGA-PBE
# DFT total energy = -98.17 eV for the cell shown
# Total moment = 7.0 μB per formula unit
data_AcPuMgBi
_chemical_formula_sum 'Ac4 Pu4 Mg4 Bi4'
_symmetry_space_group_name_H-M 'F -4 3 m'
_symmetry_Int_Tables_number 216
_symmetry_space_group_name_Hall 'F -4 2 3'
_cell_length_a 8.031
_cell_length_b 8.031
_cell_length_c 8.031
_cell_angle_alpha 90.00
_cell_angle_beta 90.00
_cell_angle_gamma 90.00
loop_
_atom_site_label
_atom_site_type_symbol
_atom_site_fract_x
_atom_site_fract_y
_atom_site_fract_z
_atom_site_occupancy
Ac1 Ac 0.000 0.000 0.000 1
Pu1 Pu 0.000 0.000 0.500 1
Mg1 Mg 0.250 0.250 0.250 1
Bi1 Bi 0.250 0.250 0.750 1


Entry 4:
# Pm2InHg5, relaxed, DFT GGA-PBE
# DFT total energy = -31.92 eV for the cell shown
# Total moment = 0.7 μB per formula unit
data_Pm2InHg5
_chemical_formula_sum 'Pm4 In2 Hg10'
_symmetry_space_group_name_H-M 'I 4/m m m'
_symmetry_Int_Tables_number 139
_symmetry_space_group_name_Hall '-I 4 2'
_cell_length_a 5.438
_cell_length_b 5.438
_cell_length_c 14.113
_cell_angle_alpha 90.00
_cell_angle_beta 90.00
_cell_angle_gamma 90.00
loop_
_atom_site_label
_atom_site_type_symbol
_atom_site_fract_x
_atom_site_fract_y
_atom_site_fract_z
_atom_site_occupancy
Pm1 Pm 0.000 0.000 0.248 1
In1 In 0.000 0.000 0.000 1
Hg1 Hg 0.000 0.000 0.500 1
Hg2 Hg 0.000 0.500 0.122 1


Entry 5:
# LaMgIn2H, relaxed, DFT GGA-PBE
# DFT total energy = -16.72 eV for the cell shown
# Total moment = 0.0 μB per formula unit
data_LaMgIn2H
_chemical_formula_sum 'La1 Mg1 In2 H1'
_symmetry_space_group_name_H-M 'P 4/m m m'
_symmetry_Int_Tables_number 123
_symmetry_space_group_name_Hall '-P 4 2'
_cell_length_a 4.856
_cell_length_b 4.856
_cell_length_c 4.672
_cell_angle_alpha 90.00
_cell_angle_beta 90.00
_cell_angle_gamma 90.00
loop_
_atom_site_label
_atom_site_type_symbol
_atom_site_fract_x
_atom_site_fract_y
_atom_site_fract_z
_atom_site_occupancy
La1 La 0.000 0.000 0.000 1
Mg1 Mg 0.500 0.500 0.000 1
In1 In 0.000 0.500 0.500 1
H1 H 0.000 0.000 0.500 1


Entry 6:
# Ac6Tl2Pb, relaxed, DFT GGA-PBE
# DFT total energy = -69.80 eV for the cell shown
# Total moment = 0.0 μB per formula unit
data_Ac6Tl2Pb
_chemical_formula_sum 'Ac12 Tl4 Pb2'
_symmetry_space_group_name_H-M 'P 1 21/c 1'
_symmetry_Int_Tables_number 14
_symmetry_space_group_name_Hall '-P 2ybc'
_cell_length_a 6.864
_cell_length_b 9.810
_cell_length_c 12.326
_cell_angle_alpha 90.00
_cell_angle_beta 119.24
_cell_angle_gamma 90.00
loop_
_atom_site_label
_atom_site_type_symbol
_atom_site_fract_x
_atom_site_fract_y
_atom_site_fract_z
_atom_site_occupancy
Ac1 Ac 0.048 0.165 0.437 1
Ac2 Ac 0.351 0.680 0.440 1
Ac3 Ac 0.414 0.037 0.292 1
Tl1 Tl 0.176 0.126 0.754 1
Pb1 Pb 0.000 0.000 0.000 1